The following is a DFT calculation (PBE-GGA) of crystalline Fe2CuH2 at its relaxed geometry.

Geometry as POSCAR:
```
Fe2CuH2
1.0
-1.586 1.586 4.011
1.586 -1.586 4.011
1.586 1.586 -4.011
Fe Cu H
2 1 2
Cartesian
0.000 0.000 1.294
0.000 0.000 6.727
0.000 0.000 4.011
1.586 0.000 2.005
0.000 1.586 2.005
```

Computed properties:
V = 8.07 Å³ per atom
E_tot = -5.42 eV/atom
energy above the lowest structure with this stoichiometry = 0 meV/atom



The following is a DFT calculation (PBE-GGA) of crystalline FeCu3H at its relaxed geometry.

Geometry as POSCAR:
```
FeCu3H
1.0
3.717 0.000 0.000
0.000 3.717 0.000
0.000 0.000 3.717
Fe Cu H
1 3 1
Cartesian
0.000 0.000 0.000
0.000 1.858 1.858
1.858 0.000 1.858
1.858 1.858 0.000
1.858 1.858 1.858
```

Computed properties:
V = 10.27 Å³ per atom
E_tot = -4.53 eV/atom
energy above the lowest structure with this stoichiometry = 0 meV/atom



The following is a DFT calculation (PBE-GGA) of crystalline Fe3CuH at its relaxed geometry.

Geometry as POSCAR:
```
Fe3CuH
1.0
4.427 0.000 0.000
0.000 4.427 0.000
0.000 0.000 4.427
Fe Cu H
3 1 1
Cartesian
0.000 0.000 2.214
0.000 2.214 0.000
2.214 0.000 0.000
0.000 0.000 0.000
2.214 2.214 2.214
```

Computed properties:
V = 17.35 Å³ per atom
E_tot = -4.85 eV/atom
energy above the lowest structure with this stoichiometry = 1661 meV/atom



The following is a DFT calculation (PBE-GGA) of crystalline Fe3Cu5H12 at its relaxed geometry.

Geometry as POSCAR:
```
Fe3Cu5H12
1.0
-5.059 5.059 5.059
5.059 -5.059 5.059
5.059 5.059 -5.059
Fe Cu H
12 20 48
Cartesian
2.530 1.265 0.000
5.059 2.530 -1.265
1.265 0.000 2.530
6.324 0.000 2.530
0.000 2.530 1.265
2.530 -1.265 5.059
2.530 6.324 0.000
5.059 2.530 3.794
-1.265 5.059 2.530
3.794 5.059 2.530
0.000 2.530 6.324
2.530 3.794 5.059
0.000 0.000 0.000
2.530 2.530 -2.530
2.530 -2.530 2.530
5.059 0.000 0.000
7.589 1.265 0.000
5.059 -2.530 3.794
3.794 5.059 -2.530
3.794 0.000 2.530
2.530 3.794 0.000
5.059 2.530 1.265
-2.530 2.530 2.530
0.000 5.059 0.000
0.000 0.000 5.059
2.530 2.530 2.530
0.000 2.530 3.794
2.530 1.265 5.059
1.265 5.059 2.530
1.265 0.000 7.589
0.000 7.589 1.265
-2.530 3.794 5.059
1.615 -0.065 0.763
5.974 3.293 -2.595
6.674 0.065 0.763
5.974 -1.766 2.595
4.994 -0.763 1.615
7.654 -0.915 1.766
0.763 1.615 -0.065
6.825 2.464 -0.915
3.293 2.595 -0.915
4.296 1.615 0.065
-0.065 0.763 1.615
2.595 -0.915 3.293
4.994 4.296 -1.615
2.595 0.915 1.766
3.293 -2.595 5.974
4.296 -1.615 4.994
1.766 2.595 0.915
5.823 3.444 0.065
2.595 5.974 -1.766
4.994 0.763 3.444
1.615 4.994 -0.763
5.974 1.766 2.464
0.915 1.766 2.595
1.615 0.065 4.296
3.444 4.994 0.763
4.144 3.293 2.464
-0.915 3.293 2.595
3.444 0.065 5.823
0.065 4.296 1.615
2.464 -0.915 6.825
-0.763 1.615 4.994
3.293 2.464 4.144
0.763 6.674 0.065
1.766 7.654 -0.915
2.464 4.144 3.293
0.065 0.763 6.674
2.464 5.974 1.766
5.125 4.296 3.444
0.763 3.444 4.994
1.766 2.464 5.974
-1.766 2.595 5.974
4.296 3.444 5.125
-2.595 5.974 3.293
0.065 5.823 3.444
-0.915 6.825 2.464
-1.615 4.994 4.296
-0.915 1.766 7.654
3.444 5.125 4.296
```

Computed properties:
V = 6.47 Å³ per atom
E_tot = -4.08 eV/atom



The following is a DFT calculation (PBE-GGA) of crystalline Fe3CuH at its relaxed geometry.

Geometry as POSCAR:
```
Fe3CuH
1.0
3.660 0.000 0.000
0.000 3.660 0.000
0.000 0.000 3.660
Fe Cu H
3 1 1
Cartesian
0.000 0.000 1.830
0.000 1.830 0.000
1.830 0.000 0.000
1.830 1.830 1.830
0.000 0.000 0.000
```

Computed properties:
V = 9.80 Å³ per atom
E_tot = -6.51 eV/atom
energy above the lowest structure with this stoichiometry = 0 meV/atom



The following is a DFT calculation (PBE-GGA) of crystalline FeCuH3 at its relaxed geometry.

Geometry as POSCAR:
```
FeCuH3
1.0
2.631 -4.095 0.000
2.631 4.095 0.000
0.000 0.000 3.054
Fe Cu H
2 2 6
Cartesian
2.631 2.128 0.000
2.631 -2.128 0.000
1.369 0.000 1.527
3.894 0.000 1.527
1.415 1.015 0.000
2.631 2.816 1.527
1.415 -1.015 0.000
3.847 1.015 0.000
2.631 -2.816 1.527
3.847 -1.015 0.000
```

Computed properties:
V = 6.58 Å³ per atom
E_tot = -4.33 eV/atom
energy above the lowest structure with this stoichiometry = 0 meV/atom



The following is a DFT calculation (PBE-GGA) of crystalline Fe2CuH2 at its relaxed geometry.

Geometry as POSCAR:
```
Fe2CuH2
1.0
5.579 0.000 0.000
0.000 5.579 0.000
0.000 0.000 2.568
Fe Cu H
4 2 4
Cartesian
0.843 1.947 0.000
1.947 4.736 0.000
3.632 0.843 0.000
4.736 3.632 0.000
0.000 0.000 1.284
2.790 2.790 1.284
0.887 3.676 1.284
1.903 0.887 1.284
3.676 4.692 1.284
4.692 1.903 1.284
```

Computed properties:
V = 7.99 Å³ per atom
E_tot = -5.26 eV/atom
energy above the lowest structure with this stoichiometry = 163 meV/atom



The following is a DFT calculation (PBE-GGA) of crystalline FeCuH3 at its relaxed geometry.

Geometry as POSCAR:
```
FeCuH3
1.0
3.301 0.000 0.000
0.000 3.301 0.000
0.000 0.000 3.301
Fe Cu H
1 1 3
Cartesian
0.000 0.000 0.000
1.650 1.650 1.650
0.000 1.650 1.650
1.650 0.000 1.650
1.650 1.650 0.000
```

Computed properties:
V = 7.19 Å³ per atom
E_tot = -4.01 eV/atom
energy above the lowest structure with this stoichiometry = 321 meV/atom